*P*
DFT (PBE) results for an optimized crystal structure of Rb2H2Cl.

Cell lengths 8.310, 8.310, 4.162 Å; angles 90.00, 90.00, 90.00 degrees
Positions (direct):
Rb (0.203, 0.297, 0.000)
Rb (0.297, 0.797, 0.000)
Rb (0.703, 0.203, 0.000)
Rb (0.797, 0.703, 0.000)
H (0.034, 0.534, 0.500)
H (0.466, 0.034, 0.500)
H (0.534, 0.966, 0.500)
H (0.966, 0.466, 0.500)
Cl (0.000, 0.000, 0.500)
Cl (0.500, 0.500, 0.500)

As for the total magnetic moment: 0.54 μB per formula unit. Its space-group type is No. 127. The density of states at the Fermi level comes out at 3.94 states/eV per cell.

=====

*Q*
DFT (PBE) results for an optimized crystal structure of Rb2H2Cl.

Cell lengths 8.326, 5.030, 8.493 Å; angles 90.00, 99.68, 90.00 degrees
Positions (direct):
Rb (0.204, 0.000, 0.225)
Rb (0.296, 0.500, 0.775)
Rb (0.704, 0.500, 0.225)
Rb (0.796, 0.000, 0.775)
H (0.000, 0.078, 0.500)
H (0.000, 0.922, 0.500)
H (0.500, 0.422, 0.500)
H (0.500, 0.578, 0.500)
Cl (0.000, 0.500, 0.000)
Cl (0.500, 0.000, 0.000)

As for the total magnetic moment: 0.67 μB per formula unit. Its space-group type is No. 12. The density of states at the Fermi level comes out at 2.76 states/eV per cell.

=====

Which structure is the least stable? The one labeled *P*.

=====

*P*
DFT (PBE) results for an optimized crystal structure of RbH2Cl3.

Cell lengths 6.676, 6.676, 9.473 Å; angles 115.60, 115.60, 75.77 degrees
Positions (direct):
Rb (0.109, 0.891, 0.750)
Rb (0.891, 0.109, 0.250)
H (0.304, 0.421, 0.201)
H (0.421, 0.304, 0.701)
H (0.579, 0.696, 0.299)
H (0.696, 0.579, 0.799)
Cl (0.188, 0.325, 0.671)
Cl (0.296, 0.704, 0.250)
Cl (0.325, 0.188, 0.171)
Cl (0.675, 0.812, 0.829)
Cl (0.704, 0.296, 0.750)
Cl (0.812, 0.675, 0.329)

As for the total magnetic moment: 0.00 μB per formula unit. Its space-group type is No. 15. The density of states at the Fermi level comes out at 0.00 states/eV per cell.

=====

*Q*
DFT (PBE) results for an optimized crystal structure of RbH2Cl3.

Cell lengths 6.554, 4.814, 11.268 Å; angles 90.00, 99.68, 90.00 degrees
Positions (direct):
Rb (0.223, 0.250, 0.394)
Rb (0.777, 0.750, 0.606)
H (0.199, 0.250, 0.742)
H (0.300, 0.250, 0.011)
H (0.700, 0.750, 0.989)
H (0.801, 0.750, 0.258)
Cl (0.064, 0.250, 0.814)
Cl (0.273, 0.750, 0.589)
Cl (0.415, 0.250, 0.117)
Cl (0.585, 0.750, 0.883)
Cl (0.727, 0.250, 0.411)
Cl (0.936, 0.750, 0.186)

As for the total magnetic moment: 0.09 μB per formula unit. Its space-group type is No. 11. The density of states at the Fermi level comes out at 0.00 states/eV per cell.

=====

Which structure is the least stable? The one labeled *Q*.

=====

*P*
DFT (PBE) results for an optimized crystal structure of RbHS2Cl.

Cell lengths 6.993, 6.993, 6.236 Å; angles 90.00, 90.00, 90.00 degrees
Positions (direct):
Rb (0.000, 0.000, 0.000)
H (0.500, 0.500, 0.500)
S (0.000, 0.500, 0.000)
S (0.500, 0.000, 0.000)
Cl (0.000, 0.000, 0.500)

As for the total magnetic moment: 5.04 μB per formula unit. Its space-group type is No. 123. The density of states at the Fermi level comes out at 6.63 states/eV per cell.

=====

*Q*
DFT (PBE) results for an optimized crystal structure of RbHS2Cl.

Cell lengths 4.039, 4.039, 7.679 Å; angles 90.00, 90.00, 90.00 degrees
Positions (direct):
Rb (0.000, 0.000, 0.000)
H (0.500, 0.500, 0.500)
S (0.000, 0.500, 0.500)
S (0.500, 0.000, 0.500)
Cl (0.500, 0.500, 0.000)

As for the total magnetic moment: 0.00 μB per formula unit. Its space-group type is No. 123. The density of states at the Fermi level comes out at 5.01 states/eV per cell.

=====

Which structure is the least stable? The one labeled *P*.

=====

*P*
DFT (PBE) results for an optimized crystal structure of RbHSCl2.

Cell lengths 6.415, 6.415, 7.123 Å; angles 90.00, 90.00, 90.00 degrees
Positions (direct):
Rb (0.000, 0.000, 0.000)
H (0.500, 0.500, 0.500)
S (0.000, 0.000, 0.500)
Cl (0.000, 0.500, 0.000)
Cl (0.500, 0.000, 0.000)

As for the total magnetic moment: 4.04 μB per formula unit. Its space-group type is No. 123. The density of states at the Fermi level comes out at 10.21 states/eV per cell.

=====

*Q*
DFT (PBE) results for an optimized crystal structure of RbHSCl2.

Cell lengths 5.697, 5.697, 3.400 Å; angles 90.00, 90.00, 90.00 degrees
Positions (direct):
Rb (0.000, 0.000, 0.000)
H (0.500, 0.500, 0.500)
S (0.500, 0.500, 0.000)
Cl (0.000, 0.500, 0.500)
Cl (0.500, 0.000, 0.500)

As for the total magnetic moment: 1.86 μB per formula unit. Its space-group type is No. 123. The density of states at the Fermi level comes out at 1.83 states/eV per cell.

=====

Which structure is the least stable? The one labeled *P*.

=====

*P*
DFT (PBE) results for an optimized crystal structure of ReHCl3.

Cell lengths 4.154, 4.154, 4.154 Å; angles 90.00, 90.00, 90.00 degrees
Positions (direct):
Re (0.000, 0.000, 0.000)
H (0.500, 0.500, 0.500)
Cl (0.000, 0.500, 0.500)
Cl (0.500, 0.000, 0.500)
Cl (0.500, 0.500, 0.000)

As for the total magnetic moment: 0.00 μB per formula unit. Its space-group type is No. 221. The density of states at the Fermi level comes out at 4.65 states/eV per cell.

=====

*Q*
DFT (PBE) results for an optimized crystal structure of ReHCl3.

Cell lengths 7.546, 6.412, 10.686 Å; angles 90.00, 95.24, 90.00 degrees
Positions (direct):
Re (0.062, 0.018, 0.134)
Re (0.062, 0.982, 0.634)
Re (0.938, 0.018, 0.366)
Re (0.938, 0.982, 0.866)
H (0.118, 0.217, 0.226)
H (0.118, 0.783, 0.726)
H (0.882, 0.217, 0.274)
H (0.882, 0.783, 0.774)
Cl (0.120, 0.260, 0.484)
Cl (0.120, 0.740, 0.984)
Cl (0.201, 0.174, 0.806)
Cl (0.201, 0.826, 0.306)
Cl (0.337, 0.151, 0.089)
Cl (0.337, 0.849, 0.589)
Cl (0.663, 0.151, 0.411)
Cl (0.663, 0.849, 0.911)
Cl (0.799, 0.174, 0.694)
Cl (0.799, 0.826, 0.194)
Cl (0.880, 0.260, 0.016)
Cl (0.880, 0.740, 0.516)

As for the total magnetic moment: 1.02 μB per formula unit. Its space-group type is No. 13. The density of states at the Fermi level comes out at 1.30 states/eV per cell.

=====

Which structure is the least stable? The one labeled *P*.

=====

*P*
DFT (PBE) results for an optimized crystal structure of ReHCl2.

Cell lengths 2.985, 2.985, 21.423 Å; angles 90.00, 90.00, 120.00 degrees
Positions (direct):
Re (0.000, 0.000, 0.000)
Re (0.333, 0.667, 0.667)
Re (0.667, 0.333, 0.333)
H (0.000, 0.000, 0.500)
H (0.333, 0.667, 0.167)
H (0.667, 0.333, 0.833)
Cl (0.000, 0.000, 0.105)
Cl (0.000, 0.000, 0.895)
Cl (0.333, 0.667, 0.562)
Cl (0.333, 0.667, 0.772)
Cl (0.667, 0.333, 0.228)
Cl (0.667, 0.333, 0.438)

As for the total magnetic moment: 0.00 μB per formula unit. Its space-group type is No. 166. The density of states at the Fermi level comes out at 4.76 states/eV per cell.

=====

*Q*
DFT (PBE) results for an optimized crystal structure of ReHCl2.

Cell lengths 5.918, 5.918, 5.918 Å; angles 90.00, 90.00, 90.00 degrees
Positions (direct):
Re (0.000, 0.000, 0.000)
Re (0.000, 0.500, 0.500)
Re (0.500, 0.000, 0.500)
Re (0.500, 0.500, 0.000)
H (0.000, 0.000, 0.500)
H (0.000, 0.500, 0.000)
H (0.500, 0.000, 0.000)
H (0.500, 0.500, 0.500)
Cl (0.250, 0.250, 0.250)
Cl (0.250, 0.250, 0.750)
Cl (0.250, 0.750, 0.250)
Cl (0.250, 0.750, 0.750)
Cl (0.750, 0.250, 0.250)
Cl (0.750, 0.250, 0.750)
Cl (0.750, 0.750, 0.250)
Cl (0.750, 0.750, 0.750)

As for the total magnetic moment: 0.00 μB per formula unit. Its space-group type is No. 225. The density of states at the Fermi level comes out at 3.49 states/eV per cell.

=====

Which structure is the least stable? The one labeled *Q*.

=====

*P*
DFT (PBE) results for an optimized crystal structure of ReHSCl2.

Cell lengths 5.068, 5.068, 3.172 Å; angles 90.00, 90.00, 90.00 degrees
Positions (direct):
Re (0.000, 0.000, 0.000)
H (0.500, 0.500, 0.500)
S (0.500, 0.500, 0.000)
Cl (0.000, 0.500, 0.500)
Cl (0.500, 0.000, 0.500)

As for the total magnetic moment: 3.09 μB per formula unit. Its space-group type is No. 123. The density of states at the Fermi level comes out at 4.15 states/eV per cell.

=====

*Q*
DFT (PBE) results for an optimized crystal structure of ReHSCl2.

Cell lengths 4.909, 4.909, 4.486 Å; angles 90.00, 90.00, 90.00 degrees
Positions (direct):
Re (0.000, 0.000, 0.000)
H (0.500, 0.500, 0.500)
S (0.000, 0.000, 0.500)
Cl (0.000, 0.500, 0.000)
Cl (0.500, 0.000, 0.000)

As for the total magnetic moment: 2.37 μB per formula unit. Its space-group type is No. 123. The density of states at the Fermi level comes out at 2.95 states/eV per cell.

=====

Which structure is the least stable? The one labeled *P*.

=====

*P*
DFT (PBE) results for an optimized crystal structure of H2Rh2Cl.

Cell lengths 6.205, 6.205, 3.191 Å; angles 90.00, 90.00, 90.00 degrees
Positions (direct):
H (0.097, 0.403, 0.000)
H (0.403, 0.903, 0.000)
H (0.597, 0.097, 0.000)
H (0.903, 0.597, 0.000)
Rh (0.164, 0.336, 0.500)
Rh (0.336, 0.836, 0.500)
Rh (0.664, 0.164, 0.500)
Rh (0.836, 0.664, 0.500)
Cl (0.000, 0.000, 0.500)
Cl (0.500, 0.500, 0.500)

As for the total magnetic moment: 0.00 μB per formula unit. Its space-group type is No. 127. The density of states at the Fermi level comes out at 6.96 states/eV per cell.

=====

*Q*
DFT (PBE) results for an optimized crystal structure of H2Rh2Cl.

Cell lengths 3.197, 3.197, 10.702 Å; angles 90.00, 90.00, 90.00 degrees
Positions (direct):
H (0.000, 0.500, 0.250)
H (0.000, 0.500, 0.750)
H (0.500, 0.000, 0.250)
H (0.500, 0.000, 0.750)
Rh (0.000, 0.000, 0.163)
Rh (0.000, 0.000, 0.837)
Rh (0.500, 0.500, 0.337)
Rh (0.500, 0.500, 0.663)
Cl (0.000, 0.000, 0.500)
Cl (0.500, 0.500, 0.000)

As for the total magnetic moment: 1.44 μB per formula unit. Its space-group type is No. 139. The density of states at the Fermi level comes out at 9.17 states/eV per cell.

=====

Which structure is the least stable? The one labeled *P*.